Entry 1:
Below is AsSeSBr2 after structural relaxation, with properties calculated at the GGA-PBEsol level.

symmetry: P4/mmm, No. 123
formation energy from raw total energies: 618 meV per atom

a b c (Å): 4.829 4.829 5.090
angles (deg): 90.00 90.00 90.00
Fractional positions:
As  0.000  0.000  0.000
Se  0.500  0.500  0.000
S  0.500  0.500  0.500
Br  0.000  0.500  0.500
Br  0.500  0.000  0.500

---

Entry 2:
Below is Ru2WSe after structural relaxation, with properties calculated at the GGA-PBEsol level.

symmetry: Cmm2, No. 35
formation energy from raw total energies: 654 meV per atom

a b c (Å): 2.752 2.752 8.924
angles (deg): 90.00 90.00 116.90
Fractional positions:
Ru  0.000  0.000  0.000
Ru  0.500  0.500  0.250
W  0.000  0.000  0.489
Se  0.500  0.500  0.763

---

Entry 3:
Below is MgOs2W after structural relaxation, with properties calculated at the GGA-PBEsol level.

symmetry: P4/mmm, No. 123
formation enthalpy at 0 K: 0.077 eV per atom

a b c (Å): 3.086 3.086 6.257
angles (deg): 90.00 90.00 90.00
Fractional positions:
Mg  0.000  0.000  0.000
Os  0.500  0.500  0.260
Os  0.500  0.500  0.740
W  0.000  0.000  0.500

---

Entry 4:
Below is Mn2AlW after structural relaxation, with properties calculated at the GGA-PBEsol level.

symmetry: P4/mmm, No. 123
formation enthalpy at 0 K: -0.146 eV per atom

a b c (Å): 2.952 2.952 5.754
angles (deg): 90.00 90.00 90.00
Fractional positions:
Mn  0.000  0.000  0.247
Mn  0.000  0.000  0.753
Al  0.500  0.500  0.500
W  0.500  0.500  0.000